Record 1
# NaGa2Pd2, PBEsol geometry, DFT meta-GGA SCAN
data_NaGa2Pd2
_space_group_name_H-M_alt 'I 4/m m m'
_space_group_IT_number 139
_space_group_name_Hall '-I 4 2'
_cell_length_a 4.051
_cell_length_b 4.051
_cell_length_c 10.858
_cell_angle_alpha 90.00
_cell_angle_beta 90.00
_cell_angle_gamma 90.00
loop_
_atom_site_label
_atom_site_type_symbol
_atom_site_fract_x
_atom_site_fract_y
_atom_site_fract_z
Na1 Na 0.000 0.000 0.000
Ga1 Ga 0.000 0.000 0.383
Pd1 Pd 0.000 0.500 0.250
# DOS(E_F): 2.80 states/eV per cell
# DFT formation energy: -250 kJ/mol of formula units
# E above lowest polymorph: 49 meV per atom
# total magnetization: 0.00 μB per formula unit


Record 2
# TaBeW3, PBEsol geometry, DFT meta-GGA SCAN
data_TaBeW3
_space_group_name_H-M_alt 'P m -3 m'
_space_group_IT_number 221
_space_group_name_Hall '-P 4 2 3'
_cell_length_a 4.239
_cell_length_b 4.239
_cell_length_c 4.239
_cell_angle_alpha 90.00
_cell_angle_beta 90.00
_cell_angle_gamma 90.00
loop_
_atom_site_label
_atom_site_type_symbol
_atom_site_fract_x
_atom_site_fract_y
_atom_site_fract_z
Ta1 Ta 0.000 0.000 0.000
Be1 Be 0.500 0.500 0.500
W1 W 0.000 0.500 0.500
# DOS(E_F): 4.59 states/eV per cell
# DFT formation energy: 389 kJ/mol of formula units
# total magnetization: 0.00 μB per formula unit


Record 3
# ScCrRu2, PBEsol geometry, DFT meta-GGA SCAN
data_ScCrRu2
_space_group_name_H-M_alt 'P 1 m 1'
_space_group_IT_number 6
_space_group_name_Hall 'P -2y'
_cell_length_a 2.764
_cell_length_b 4.301
_cell_length_c 4.874
_cell_angle_alpha 90.00
_cell_angle_beta 101.81
_cell_angle_gamma 90.00
loop_
_atom_site_label
_atom_site_type_symbol
_atom_site_fract_x
_atom_site_fract_y
_atom_site_fract_z
Sc1 Sc 0.000 0.000 0.000
Cr1 Cr 0.680 0.500 0.267
Ru1 Ru 0.254 0.500 0.759
Ru2 Ru 0.568 0.000 0.484
# DOS(E_F): 3.67 states/eV per cell
# DFT formation energy: 10 kJ/mol of formula units
# total magnetization: 0.00 μB per formula unit


Record 4
# Mn6PO12, PBEsol geometry, DFT meta-GGA SCAN
data_Mn6PO12
_space_group_name_H-M_alt 'I 41/a c d'
_space_group_IT_number 142
_cell_length_a 9.281
_cell_length_b 9.281
_cell_length_c 18.413
_cell_angle_alpha 90.00
_cell_angle_beta 90.00
_cell_angle_gamma 90.00
loop_
_space_group_symop_operation_xyz
'x,y,z'
'-x,-y,-z'
'-y+1/4,x+3/4,z+1/4'
'y+1/4,-x+3/4,-z+1/4'
'-x+1/2,-y,z+1/2'
'x+1/2,y,-z+1/2'
'y+1/4,-x+1/4,z+3/4'
'-y+1/4,x+1/4,-z+3/4'
'x,-y,-z+1/2'
'-x,y,z+1/2'
'-y+1/4,-x+1/4,-z+1/4'
'y+1/4,x+1/4,z+1/4'
'-x+1/2,y,-z'
'x+1/2,-y,z'
'y+1/4,x+3/4,-z+3/4'
'-y+1/4,-x+3/4,z+3/4'
'x+1/2,y+1/2,z+1/2'
'-x+1/2,-y+1/2,-z+1/2'
'-y+3/4,x+1/4,z+3/4'
'y+3/4,-x+1/4,-z+3/4'
'-x,-y+1/2,z'
'x,y+1/2,-z'
'y+3/4,-x+3/4,z+1/4'
'-y+3/4,x+3/4,-z+1/4'
'x+1/2,-y+1/2,-z'
'-x+1/2,y+1/2,z'
'-y+3/4,-x+3/4,-z+3/4'
'y+3/4,x+3/4,z+3/4'
'-x,y+1/2,-z+1/2'
'x,-y+1/2,z+1/2'
'y+3/4,x+1/4,-z+1/4'
'-y+3/4,-x+1/4,z+1/4'
loop_
_atom_site_label
_atom_site_type_symbol
_atom_site_fract_x
_atom_site_fract_y
_atom_site_fract_z
Mn1 Mn 0.000 0.000 0.000
Mn2 Mn 0.024 0.000 0.250
Mn3 Mn 0.230 0.020 0.625
P1 P 0.000 0.250 0.375
O1 O 0.077 0.139 0.923
O2 O 0.119 0.110 0.702
O3 O 0.151 0.075 0.055
# DOS(E_F): 40.13 states/eV per cell
# E_form (uncorrected): -3897 kJ/mol of formula units
# total magnetization: 23.00 μB per formula unit


Record 5
# NiPtRh2, PBEsol geometry, DFT meta-GGA SCAN
data_NiPtRh2
_space_group_name_H-M_alt 'P m m m'
_space_group_IT_number 47
_space_group_name_Hall '-P 2 2'
_cell_length_a 2.683
_cell_length_b 3.708
_cell_length_c 5.306
_cell_angle_alpha 90.00
_cell_angle_beta 90.00
_cell_angle_gamma 90.00
loop_
_atom_site_label
_atom_site_type_symbol
_atom_site_fract_x
_atom_site_fract_y
_atom_site_fract_z
Ni1 Ni 0.000 0.000 0.000
Pt1 Pt 0.000 0.000 0.500
Rh1 Rh 0.500 0.500 0.240
# DOS(E_F): 5.12 states/eV per cell
# DFT formation energy: 1 kJ/mol of formula units
# total magnetization: 1.95 μB per formula unit


Record 6
# POs3W, PBEsol geometry, DFT meta-GGA SCAN
data_POs3W
_space_group_name_H-M_alt 'P m -3 m'
_space_group_IT_number 221
_space_group_name_Hall '-P 4 2 3'
_cell_length_a 4.284
_cell_length_b 4.284
_cell_length_c 4.284
_cell_angle_alpha 90.00
_cell_angle_beta 90.00
_cell_angle_gamma 90.00
loop_
_atom_site_label
_atom_site_type_symbol
_atom_site_fract_x
_atom_site_fract_y
_atom_site_fract_z
P1 P 0.000 0.000 0.000
Os1 Os 0.000 0.000 0.500
W1 W 0.500 0.500 0.500
# DOS(E_F): 3.89 states/eV per cell
# DFT formation energy: 611 kJ/mol of formula units
# total magnetization: 2.20 μB per formula unit


Record 7
# Cs2DyCl5, PBEsol geometry, DFT meta-GGA SCAN
data_Cs2DyCl5
_space_group_name_H-M_alt 'P n m a'
_space_group_IT_number 62
_space_group_name_Hall '-P 2ac 2n'
_cell_length_a 9.429
_cell_length_b 7.365
_cell_length_c 15.082
_cell_angle_alpha 90.00
_cell_angle_beta 90.00
_cell_angle_gamma 90.00
loop_
_atom_site_label
_atom_site_type_symbol
_atom_site_fract_x
_atom_site_fract_y
_atom_site_fract_z
Cs1 Cs 0.028 0.250 0.209
Cs2 Cs 0.167 0.750 0.416
Dy1 Dy 0.182 0.750 0.066
Cl1 Cl 0.000 0.000 0.000
Cl2 Cl 0.017 0.750 0.202
Cl3 Cl 0.161 0.509 0.620
Cl4 Cl 0.209 0.250 0.406
# DOS(E_F): 0.00 states/eV per cell
# E_form (uncorrected): -1897 kJ/mol of formula units
# total magnetization: 0.00 μB per formula unit


Record 8
# Zr5Sn3Se, PBEsol geometry, DFT meta-GGA SCAN
data_Zr5Sn3Se
_space_group_name_H-M_alt 'P 63/m c m'
_space_group_IT_number 193
_space_group_name_Hall '-P 6c 2'
_cell_length_a 8.5298
_cell_length_b 8.5298
_cell_length_c 5.9734
_cell_angle_alpha 90.00
_cell_angle_beta 90.00
_cell_angle_gamma 120.00
loop_
_atom_site_label
_atom_site_type_symbol
_atom_site_fract_x
_atom_site_fract_y
_atom_site_fract_z
Zr1 Zr 0.0000 0.2622 0.2500
Zr2 Zr 0.3333 0.6667 0.0000
Sn1 Sn 0.0000 0.3957 0.7500
Se1 Se 0.0000 0.0000 0.0000
# DOS(E_F): 5.52 states/eV per cell
# E_form (uncorrected): -798 kJ/mol of formula units
# total magnetization: 0.00 μB per formula unit